1.
An optimized crystal structure of LiAg2Ru, computed with PBE.

The distance to the lowest polymorph of the same formula is 2.63 kcal/mol of atoms. As for the formation energy: 0.292 eV per atom.

The structure belongs to space group C2/m (No. 12); the cell edges are 9.4519, 2.6600 and 5.1043 Å and the angles 90.00°, 96.83° and 90.00°. The asymmetric unit holds Li at (0.0000, 0.0000, 0.0000), Ag at (0.2459, 0.0000, 0.7498) and Ru at (0.0000, 0.5000, 0.5000).



2.
An optimized crystal structure of Li2AgRu, computed with PBE.

The distance to the lowest polymorph of the same formula is 2.69 kcal/mol of atoms. As for the formation energy: 0.179 eV per atom.

The structure belongs to space group Pmmm (No. 47); the cell edges are 2.6814, 4.5793 and 4.8616 Å and the angles 90.00°, 90.00° and 90.00°. The asymmetric unit holds Li at (0.0000, 0.0000, 0.0000), Li at (0.5000, 0.0000, 0.5000), Ag at (0.0000, 0.5000, 0.5000) and Ru at (0.5000, 0.5000, 0.0000).



3.
An optimized crystal structure of Li2AgRuS, computed with PBE.

For the formation energy from raw total energies, the calculation gives -0.131 eV/atom.

The structure belongs to space group P4/mmm (No. 123); the cell edges are 4.4268, 4.4268 and 4.3560 Å and the angles 90.00°, 90.00° and 90.00°. The asymmetric unit holds Li at (0.0000, 0.5000, 0.0000), Ag at (0.0000, 0.0000, 0.5000), Ru at (0.5000, 0.5000, 0.5000) and S at (0.5000, 0.5000, 0.0000).



4.
An optimized crystal structure of LiAgSbRu, computed with PBE.

For the formation energy from raw total energies, the calculation gives -0.077 eV/atom.

The structure belongs to space group F-43m (No. 216); the cell edges are 6.4080, 6.4080 and 6.4080 Å and the angles 90.00°, 90.00° and 90.00°. The asymmetric unit holds Li at (0.0000, 0.0000, 0.0000), Ag at (0.2500, 0.2500, 0.7500), Sb at (0.2500, 0.2500, 0.2500) and Ru at (0.0000, 0.0000, 0.5000).



5.
An optimized crystal structure of Li2ZrAgRu, computed with PBE.

As for the formation energy: 1.107 eV per atom.

The structure belongs to space group P4/mmm (No. 123); the cell edges are 5.1487, 5.1487 and 4.5882 Å and the angles 90.00°, 90.00° and 90.00°. The asymmetric unit holds Li at (0.0000, 0.5000, 0.0000), Zr at (0.0000, 0.0000, 0.0000), Ag at (0.5000, 0.5000, 0.5000) and Ru at (0.0000, 0.0000, 0.5000).



6.
An optimized crystal structure of LiAg2S2, computed with PBE.

The distance to the lowest polymorph of the same formula is 3.24 kcal/mol of atoms. For the formation energy from raw total energies, the calculation gives -0.156 eV/atom.

The structure belongs to space group I4/mmm (No. 139); the cell edges are 4.0696, 4.0696 and 12.1615 Å and the angles 90.00°, 90.00° and 90.00°. The asymmetric unit holds Li at (0.0000, 0.0000, 0.0000), Ag at (0.0000, 0.5000, 0.2500) and S at (0.0000, 0.0000, 0.3873).



7.
An optimized crystal structure of LiAgS4, computed with PBE.

For the formation energy from raw total energies, the calculation gives -0.186 eV/atom.

The structure belongs to space group C2/c (No. 15); the cell edges are 9.2235, 9.3808 and 7.3342 Å and the angles 90.00°, 119.00° and 90.00°. The asymmetric unit holds Li at (0.0000, 0.1876, 0.2500), Ag at (0.0000, 0.4305, 0.7500), S at (0.1388, 0.2343, 0.6277) and S at (0.2198, 0.4202, 0.5668).



8.
An optimized crystal structure of LiAg2S2, computed with PBE.

The distance to the lowest polymorph of the same formula is 1.61 kcal/mol of atoms. For the formation energy from raw total energies, the calculation gives -0.227 eV/atom.

The structure belongs to space group P4/mbm (No. 127); the cell edges are 7.0859, 7.0859 and 3.5926 Å and the angles 90.00°, 90.00° and 90.00°. The asymmetric unit holds Li at (0.0000, 0.0000, 0.0000), Ag at (0.1401, 0.3599, 0.5000) and S at (0.1740, 0.6740, 0.0000).



In eV per atom, the calculated total energy values for the records above are, in order, -3.9310, -3.8094, -4.1473, -4.6176, -3.7934, -3.3307, -3.7320, -3.4015.